The following is a DFT calculation (PBE) of a geometry-optimized PmDyCdNi structure.

Summary:
E_form   -0.9 eV per formula unit
Energy   -17.0 eV per cell
Crystal system   cubic
Size of the total moment   0.00 μB/f.u.
N(E_F)   0.748 states/eV/atom

a b c (Å): 5.121 5.121 5.121
angles (deg): 60.00 60.00 60.00
Element x y z (fractional)
Cd (0.250, 0.250, 0.250)
Dy (0.500, 0.500, 0.500)
Ni (0.750, 0.750, 0.750)
Pm (0.000, 0.000, 0.000)

The following is a DFT calculation (PBE) of a geometry-optimized NaDyCuSe2 structure.

Summary:
Energy   -43.4 eV per cell
Formation energy (no corrections)   -0.944 eV/atom
Crystal system   monoclinic
Size of the total moment   0.00 μB/f.u.
N(E_F)   0.494 states/eV/atom

a b c (Å): 4.561 7.107 7.903
angles (deg): 99.25 90.00 90.00
Element x y z (fractional)
Dy (0.492, 0.000, 0.250)
Dy (0.508, 0.000, 0.750)
Se (0.683, 0.266, 0.535)
Se (0.317, 0.266, 0.035)
Se (0.683, 0.734, 0.965)
Se (0.317, 0.734, 0.465)
Na (0.847, 0.500, 0.250)
Na (0.153, 0.500, 0.750)
Cu (0.000, 0.000, 0.000)
Cu (0.000, 0.000, 0.500)

The following is a DFT calculation (PBE) of a geometry-optimized Zr2Ni3Rh structure.

Summary:
E_form   -1.3 eV per formula unit
Energy   -172.5 eV per cell
Crystal system   tetragonal
Size of the total moment   0.00 μB/f.u.
N(E_F)   0.670 states/eV/atom

a b c (Å): 9.245 9.245 8.026
angles (deg): 125.17 125.17 90.00
Element x y z (fractional)
Zr (0.824, 0.045, 0.648)
Zr (0.824, 0.603, 0.648)
Zr (0.955, 0.176, 0.352)
Zr (0.853, 0.574, 0.148)
Zr (0.397, 0.176, 0.352)
Zr (0.295, 0.574, 0.148)
Zr (0.426, 0.705, 0.852)
Zr (0.426, 0.147, 0.852)
Ni (0.125, 0.875, 0.750)
Ni (0.625, 0.875, 0.750)
Ni (0.473, 0.527, 0.500)
Ni (0.777, 0.223, 0.000)
Ni (0.027, 0.527, 0.500)
Ni (0.125, 0.375, 0.250)
Ni (0.473, 0.973, 0.500)
Ni (0.777, 0.777, 0.000)
Ni (0.027, 0.973, 0.500)
Ni (0.125, 0.875, 0.250)
Ni (0.223, 0.223, 0.000)
Ni (0.223, 0.777, 0.000)
Rh (0.607, 0.107, 0.214)
Rh (0.893, 0.393, 0.786)
Rh (0.643, 0.643, 0.286)
Rh (0.357, 0.357, 0.714)

The following is a DFT calculation (PBE) of a geometry-optimized CeHoScCd structure.

Summary:
E_form   0.0 eV per formula unit
Energy   -17.8 eV per cell
Crystal system   cubic
Size of the total moment   1.55 μB/f.u.
N(E_F)   1.846 states/eV/atom

a b c (Å): 5.347 5.347 5.347
angles (deg): 60.00 60.00 60.00
Site moments in Bohr magnetons follow the coordinates.
Element x y z (fractional)
Sc (0.250, 0.250, 0.250)  0.32
Cd (0.750, 0.750, 0.750)  -0.01
Ho (0.500, 0.500, 0.500)  0.18
Ce (0.000, 0.000, 0.000)  0.76

The following is a DFT calculation (PBE) of a geometry-optimized EuTmSb2 structure.

Summary:
Energy   -26.2 eV per cell
Formation energy (no corrections)   -0.807 eV/atom
Crystal system   tetragonal
Size of the total moment   7.05 μB/f.u.
ΔE to the lowest computed polymorph   168.4 meV/atom
N(E_F)   0.667 states/eV/atom

a b c (Å): 3.727 3.727 8.199
angles (deg): 90.00 90.00 90.00
Site moments in Bohr magnetons follow the coordinates.
Element x y z (fractional)
Tm (0.500, 0.500, 0.000)  0.00
Sb (0.000, 0.000, 0.232)  -0.02
Sb (0.000, 0.000, 0.768)  -0.02
Eu (0.500, 0.500, 0.500)  6.86

The following is a DFT calculation (PBE) of a geometry-optimized Dy6HgC3 structure.

Summary:
E_form   -3.1 eV per formula unit
Energy   -117.3 eV per cell
Crystal system   monoclinic
Size of the total moment   0.35 μB/f.u.
N(E_F)   0.743 states/eV/atom

a b c (Å): 3.608 11.156 11.473
angles (deg): 108.75 90.00 90.00
Site moments in Bohr magnetons follow the coordinates.
Element x y z (fractional)
C (0.750, 0.740, 0.286)  0.00
C (0.250, 0.260, 0.714)  0.00
C (0.750, 0.349, 0.470)  -0.01
C (0.250, 0.035, 0.146)  0.00
C (0.250, 0.651, 0.530)  -0.01
C (0.750, 0.965, 0.854)  0.00
Dy (0.250, 0.868, 0.949)  0.02
Dy (0.750, 0.537, 0.381)  0.03
Dy (0.750, 0.182, 0.565)  0.07
Dy (0.750, 0.756, 0.669)  0.06
Dy (0.750, 0.351, 0.863)  0.01
Dy (0.250, 0.818, 0.435)  0.07
Dy (0.250, 0.056, 0.763)  0.05
Dy (0.250, 0.463, 0.619)  0.03
Dy (0.750, 0.132, 0.051)  0.02
Dy (0.250, 0.244, 0.331)  0.06
Dy (0.750, 0.944, 0.237)  0.05
Dy (0.250, 0.649, 0.137)  0.01
Hg (0.250, 0.372, 0.114)  0.00
Hg (0.750, 0.628, 0.886)  0.00

The following is a DFT calculation (PBE) of a geometry-optimized RbMnNiCl6 structure.

Summary:
Energy   -36.5 eV per cell
Formation energy (no corrections)   -1.059 eV/atom
Crystal system   monoclinic
Size of the total moment   5.98 μB/f.u.
N(E_F)   0.058 states/eV/atom

a b c (Å): 6.228 6.426 7.415
angles (deg): 91.80 90.97 58.96
Site moments in Bohr magnetons follow the coordinates.
Element x y z (fractional)
Mn (0.332, 0.334, 0.500)  3.69
Cl (0.379, 0.988, 0.698)  0.14
Cl (0.008, 0.619, 0.682)  0.04
Cl (0.378, 0.634, 0.302)  0.14
Cl (0.008, 0.373, 0.318)  0.04
Cl (0.625, 0.004, 0.327)  0.06
Cl (0.626, 0.371, 0.673)  0.06
Rb (0.991, 0.005, 0.000)  0.00
Ni (0.654, 0.673, 0.500)  1.43

The following is a DFT calculation (PBE) of a geometry-optimized BeOs2Br structure.

Summary:
Energy   -23.2 eV per cell
Formation energy (no corrections)   1.168 eV/atom
Crystal system   cubic
Size of the total moment   0.00 μB/f.u.
ΔE to the lowest computed polymorph   624.3 meV/atom
N(E_F)   0.535 states/eV/atom

a b c (Å): 4.255 4.255 4.255
angles (deg): 60.00 60.00 60.00
Element x y z (fractional)
Os (0.750, 0.750, 0.750)
Os (0.250, 0.250, 0.250)
Br (0.500, 0.500, 0.500)
Be (0.000, 0.000, 0.000)

The following is a DFT calculation (PBE) of a geometry-optimized AcTb3ErTm structure.

Summary:
E_form   1.4 eV per formula unit
Energy   -51.4 eV per cell
Crystal system   monoclinic
Size of the total moment   0.00 μB/f.u.
N(E_F)   1.679 states/eV/atom

a b c (Å): 5.359 11.804 7.015
angles (deg): 82.07 90.00 103.12
Element x y z (fractional)
Tb (0.479, 0.958, 0.284)
Tb (0.775, 0.549, 0.810)
Tb (0.820, 0.639, 0.285)
Tb (0.225, 0.451, 0.190)
Tb (0.180, 0.361, 0.715)
Tb (0.521, 0.042, 0.716)
Ac (0.626, 0.252, 0.017)
Ac (0.374, 0.748, 0.983)
Tm (0.075, 0.150, 0.392)
Tm (0.925, 0.850, 0.608)
Er (0.333, 0.666, 0.524)
Er (0.667, 0.334, 0.476)

The following is a DFT calculation (PBE) of a geometry-optimized TmTl2Cd structure.

Summary:
E_form   -0.3 eV per formula unit
Energy   -10.4 eV per cell
Crystal system   cubic
Size of the total moment   0.00 μB/f.u.
ΔE to the lowest computed polymorph   110.3 meV/atom
N(E_F)   0.756 states/eV/atom

a b c (Å): 5.277 5.277 5.277
angles (deg): 60.00 60.00 60.00
Element x y z (fractional)
Cd (0.500, 0.500, 0.500)
Tm (0.000, 0.000, 0.000)
Tl (0.250, 0.250, 0.250)
Tl (0.750, 0.750, 0.750)

The following is a DFT calculation (PBE) of a geometry-optimized CsIr3Os structure.

Summary:
E_form   19.0 eV per formula unit
Energy   -19.6 eV per cell
Crystal system   cubic
Size of the total moment   3.86 μB/f.u.
ΔE to the lowest computed polymorph   2283.7 meV/atom
N(E_F)   1.245 states/eV/atom

a b c (Å): 4.894 4.894 4.894
angles (deg): 90.00 90.00 90.00
Site moments in Bohr magnetons follow the coordinates.
Element x y z (fractional)
Os (0.500, 0.500, 0.500)  2.50
Ir (0.500, 0.000, 0.000)  0.58
Ir (0.000, 0.000, 0.500)  0.20
Ir (0.000, 0.500, 0.000)  0.42
Cs (0.000, 0.000, 0.000)  -0.02

The following is a DFT calculation (PBE) of a geometry-optimized LiCaFe structure.

Summary:
E_form   0.9 eV per formula unit
Energy   -46.0 eV per cell
Crystal system   monoclinic
Size of the total moment   2.24 μB/f.u.
ΔE to the lowest computed polymorph   38.8 meV/atom
N(E_F)   0.812 states/eV/atom

a b c (Å): 6.862 3.728 11.110
angles (deg): 90.00 107.52 90.00
Site moments in Bohr magnetons follow the coordinates.
Element x y z (fractional)
Fe (0.416, 0.851, 0.701)  2.34
Fe (0.416, 0.351, 0.201)  2.34
Fe (0.584, 0.851, 0.299)  2.34
Fe (0.584, 0.351, 0.799)  2.34
Li (0.182, 0.851, 0.258)  -0.03
Li (0.818, 0.851, 0.742)  -0.03
Li (0.182, 0.351, 0.758)  -0.03
Li (0.818, 0.351, 0.242)  -0.03
Ca (0.500, 0.352, 0.500)  -0.05
Ca (0.500, 0.852, 0.000)  -0.05
Ca (0.000, 0.853, 0.500)  0.00
Ca (0.000, 0.353, 0.000)  0.00